# 1
The following is a DFT calculation (PBE) of a geometry-optimized LaTaCr2 structure. Values from VASP.

Cell and atoms, written as Quantum ESPRESSO input:
```
&SYSTEM
  ibrav = 0, nat = 4, ntyp = 3
/
ATOMIC_SPECIES
Cr 52.00 Cr.upf
La 138.91 La.upf
Ta 180.95 Ta.upf
ATOMIC_POSITIONS crystal
Cr 0.000 0.000 0.975
La 0.500 0.500 0.250
Cr 0.000 0.000 0.525
Ta 0.500 0.500 0.750
CELL_PARAMETERS angstrom
2.940 0.007 0.000
-1.163 2.700 0.000
0.000 0.000 8.781
```

Energy   -33.5 eV/cell
Spin magnetization   0.17 μB per atom
Space-group type   Cmmm (65)


# 2
The following is a DFT calculation (PBE) of a geometry-optimized AcBi2S5 structure. Values from VASP.

Cell and atoms, written as Quantum ESPRESSO input:
```
&SYSTEM
  ibrav = 0, nat = 16, ntyp = 3
/
ATOMIC_SPECIES
Bi 208.98 Bi.upf
S 32.06 S.upf
Ac 227.00 Ac.upf
ATOMIC_POSITIONS crystal
Bi 0.670 0.170 0.000
Bi 0.830 0.670 0.000
S 0.488 0.309 0.297
Bi 0.170 0.330 0.000
S 0.000 0.000 0.000
S 0.988 0.488 0.297
S 0.012 0.512 0.703
S 0.809 0.988 0.297
Ac 0.250 0.250 0.500
S 0.191 0.012 0.703
Bi 0.330 0.830 0.000
Ac 0.750 0.750 0.500
S 0.309 0.809 0.297
S 0.500 0.500 0.000
S 0.691 0.191 0.703
S 0.512 0.691 0.703
CELL_PARAMETERS angstrom
7.715 0.000 0.000
0.000 7.715 0.000
-3.858 -3.858 6.471
```

E_form (uncorrected)   -0.791 eV/atom
Energy   -77.7 eV/cell
Spin magnetization   0.00 μB per atom
Space-group type   I4/mcm (140)


# 3
The following is a DFT calculation (PBE) of a geometry-optimized BaLaAl4 structure. Values from VASP.

Cell and atoms, written as Quantum ESPRESSO input:
```
&SYSTEM
  ibrav = 0, nat = 6, ntyp = 3
/
ATOMIC_SPECIES
Al 26.98 Al.upf
Ba 137.33 Ba.upf
La 138.91 La.upf
ATOMIC_POSITIONS crystal
Al 0.626 0.626 0.123
Al 0.123 0.626 0.626
Ba 0.250 0.250 0.250
Al 0.626 0.626 0.626
Al 0.626 0.123 0.626
La 0.000 0.000 0.000
CELL_PARAMETERS angstrom
-3.274 -1.112 4.750
2.443 -2.467 4.740
0.758 3.160 4.895
```

Energy   -23.8 eV/cell
Spin magnetization   0.00 μB per atom
Space-group type   F-43m (216)


# 4
The following is a DFT calculation (PBE) of a geometry-optimized La2Zn2As structure. Values from VASP.

Cell and atoms, written as Quantum ESPRESSO input:
```
&SYSTEM
  ibrav = 0, nat = 5, ntyp = 3
/
ATOMIC_SPECIES
Zn 65.41 Zn.upf
La 138.91 La.upf
As 74.92 As.upf
ATOMIC_POSITIONS crystal
Zn 0.250 0.750 0.500
La 0.595 0.595 0.811
Zn 0.750 0.250 0.500
La 0.405 0.405 0.189
As 0.000 0.000 0.000
CELL_PARAMETERS angstrom
3.769 0.000 0.000
0.000 3.769 0.000
1.884 1.884 8.972
```

Energy   -19.8 eV/cell
Spin magnetization   0.00 μB per atom
Space-group type   I4/mmm (139)


# 5
The following is a DFT calculation (PBE) of a geometry-optimized AgHg2Au structure. Values from VASP.

Cell and atoms, written as Quantum ESPRESSO input:
```
&SYSTEM
  ibrav = 0, nat = 4, ntyp = 3
/
ATOMIC_SPECIES
Au 196.97 Au.upf
Ag 107.87 Ag.upf
Hg 200.59 Hg.upf
ATOMIC_POSITIONS crystal
Au 0.666 0.666 0.001
Ag 0.501 0.501 0.498
Hg 0.082 0.082 0.753
Hg 0.251 0.251 0.248
CELL_PARAMETERS angstrom
3.972 0.000 0.000
1.986 3.440 0.000
1.986 1.147 6.841
```

Energy   -6.2 eV/cell
Spin magnetization   0.00 μB per atom
Space-group type   R3m (160)


# 6
The following is a DFT calculation (PBE) of a geometry-optimized Zr2TeS structure. Values from VASP.

Cell and atoms, written as Quantum ESPRESSO input:
```
&SYSTEM
  ibrav = 0, nat = 4, ntyp = 3
/
ATOMIC_SPECIES
Zr 91.22 Zr.upf
Te 127.60 Te.upf
S 32.06 S.upf
ATOMIC_POSITIONS crystal
Zr 0.750 0.750 0.750
Zr 0.250 0.250 0.250
Te 0.500 0.500 0.500
S 0.000 0.000 0.000
CELL_PARAMETERS angstrom
0.000 3.425 3.425
3.425 0.000 3.425
3.425 3.425 0.000
```

E_form (uncorrected)   -0.909 eV/atom
Energy   -28.0 eV/cell
Spin magnetization   0.00 μB per atom
Space-group type   Fm-3m (225)


# 7
The following is a DFT calculation (PBE) of a geometry-optimized NaIn2BiO6 structure. Values from VASP.

Cell and atoms, written as Quantum ESPRESSO input:
```
&SYSTEM
  ibrav = 0, nat = 10, ntyp = 4
/
ATOMIC_SPECIES
O 16.00 O.upf
Na 22.99 Na.upf
In 114.82 In.upf
Bi 208.98 Bi.upf
ATOMIC_POSITIONS crystal
O 0.383 0.712 0.758
Na 0.800 0.800 0.600
O 0.712 0.147 0.758
In 0.018 0.018 0.945
In 0.522 0.522 0.433
O 0.605 0.233 0.238
O 0.233 0.924 0.238
Bi 0.317 0.317 0.048
O 0.147 0.383 0.758
O 0.924 0.605 0.238
CELL_PARAMETERS angstrom
-3.920 0.876 3.970
1.267 -0.799 5.445
0.563 4.834 3.508
```

E_form (uncorrected)   -1.335 eV/atom
Energy   -53.8 eV/cell
Spin magnetization   0.00 μB per atom
Space-group type   R3 (146)


# 8
The following is a DFT calculation (PBE) of a geometry-optimized In2PbBr structure. Values from VASP.

Cell and atoms, written as Quantum ESPRESSO input:
```
&SYSTEM
  ibrav = 0, nat = 8, ntyp = 3
/
ATOMIC_SPECIES
In 114.82 In.upf
Pb 207.20 Pb.upf
Br 79.90 Br.upf
ATOMIC_POSITIONS crystal
In 0.110 0.625 0.250
Pb 0.750 0.250 0.500
In 0.640 0.125 0.250
Br 0.250 0.750 0.500
Br 0.500 0.500 0.000
In 0.875 0.890 0.750
Pb 0.000 0.000 0.000
In 0.375 0.360 0.750
CELL_PARAMETERS angstrom
-2.555 -1.719 -5.954
5.000 -4.377 -0.881
-2.966 -8.511 -0.043
```

E_form (uncorrected)   -0.026 eV/atom
Energy   -21.9 eV/cell
Spin magnetization   0.00 μB per atom
Space-group type   I-42d (122)


# 9
The following is a DFT calculation (PBE) of a geometry-optimized Y2MgTlSe structure. Values from VASP.

Cell and atoms, written as Quantum ESPRESSO input:
```
&SYSTEM
  ibrav = 0, nat = 5, ntyp = 4
/
ATOMIC_SPECIES
Tl 204.38 Tl.upf
Se 78.96 Se.upf
Mg 24.30 Mg.upf
Y 88.91 Y.upf
ATOMIC_POSITIONS crystal
Tl 0.000 0.500 0.000
Se 0.000 0.000 0.000
Mg 0.500 0.500 0.500
Y 0.000 0.000 0.500
Y 0.500 0.000 0.000
CELL_PARAMETERS angstrom
5.349 0.000 0.000
0.000 5.828 0.000
0.000 0.000 5.349
```

E_form (uncorrected)   -0.240 eV/atom
Energy   -21.6 eV/cell
Spin magnetization   0.00 μB per atom
Space-group type   P4/mmm (123)


# 10
The following is a DFT calculation (PBE) of a geometry-optimized Li2Cd3Hg7 structure. Values from VASP.

Cell and atoms, written as Quantum ESPRESSO input:
```
&SYSTEM
  ibrav = 0, nat = 12, ntyp = 3
/
ATOMIC_SPECIES
Hg 200.59 Hg.upf
Cd 112.41 Cd.upf
Li 6.94 Li.upf
ATOMIC_POSITIONS crystal
Hg 0.000 0.604 0.208
Hg 0.000 0.000 0.000
Cd 0.500 0.685 0.370
Cd 0.500 0.315 0.630
Cd 0.500 0.500 0.000
Hg 0.000 0.777 0.554
Hg 0.500 0.924 0.847
Li 0.000 0.856 0.712
Hg 0.000 0.223 0.446
Hg 0.000 0.396 0.792
Hg 0.500 0.076 0.153
Li 0.000 0.144 0.288
CELL_PARAMETERS angstrom
3.527 0.000 0.000
0.000 4.793 0.000
0.000 -2.396 16.965
```

Energy   -9.5 eV/cell
Spin magnetization   0.00 μB per atom
Space-group type   Cmmm (65)


# 11
The following is a DFT calculation (PBE) of a geometry-optimized CrW4 structure. Values from VASP.

Cell and atoms, written as Quantum ESPRESSO input:
```
&SYSTEM
  ibrav = 0, nat = 5, ntyp = 2
/
ATOMIC_SPECIES
Cr 52.00 Cr.upf
W 183.84 W.upf
ATOMIC_POSITIONS crystal
Cr 0.000 0.000 0.000
W 0.750 0.250 0.500
W 0.615 0.615 0.000
W 0.385 0.385 0.000
W 0.250 0.750 0.500
CELL_PARAMETERS angstrom
-2.088 2.088 5.582
2.088 -2.088 5.582
2.088 2.088 -5.582
```

Energy   -55.5 eV/cell
Spin magnetization   0.79 μB per atom
Space-group type   I4/mmm (139)


# 12
The following is a DFT calculation (PBE) of a geometry-optimized BBr3N structure. Values from VASP.

Cell and atoms, written as Quantum ESPRESSO input:
```
&SYSTEM
  ibrav = 0, nat = 5, ntyp = 3
/
ATOMIC_SPECIES
Br 79.90 Br.upf
N 14.01 N.upf
B 10.81 B.upf
ATOMIC_POSITIONS crystal
Br 0.000 0.000 0.500
N 0.500 0.500 0.500
Br 0.000 0.500 0.000
B 0.000 0.000 0.000
Br 0.500 0.000 0.000
CELL_PARAMETERS angstrom
4.716 0.000 0.000
0.000 4.716 0.000
0.000 0.000 4.716
```

E_form (uncorrected)   1.495 eV/atom
Energy   -12.5 eV/cell
Spin magnetization   0.60 μB per atom
Space-group type   Pm-3m (221)


Repeat the ninth record exactly.
The following is a DFT calculation (PBE) of a geometry-optimized Y2MgTlSe structure. Values from VASP.

Cell and atoms, written as Quantum ESPRESSO input:
```
&SYSTEM
  ibrav = 0, nat = 5, ntyp = 4
/
ATOMIC_SPECIES
Tl 204.38 Tl.upf
Se 78.96 Se.upf
Mg 24.30 Mg.upf
Y 88.91 Y.upf
ATOMIC_POSITIONS crystal
Tl 0.000 0.500 0.000
Se 0.000 0.000 0.000
Mg 0.500 0.500 0.500
Y 0.000 0.000 0.500
Y 0.500 0.000 0.000
CELL_PARAMETERS angstrom
5.349 0.000 0.000
0.000 5.828 0.000
0.000 0.000 5.349
```

E_form (uncorrected)   -0.240 eV/atom
Energy   -21.6 eV/cell
Spin magnetization   0.00 μB per atom
Space-group type   P4/mmm (123)


- Look up the energy of the eleventh one.
  -55.5 eV/cell


- spin magnetization of number 2 (AcBi2S5)?
  0.00 μB per atom